TbTh2Ga6 (GGA-PBE, relaxed); N(E_F) = 1.96 states/eV/f.u.; symmetry = P6/mmm (191); electronic total energy = -43.43 eV per cell; energy of formation from the pure elements = -62.2 kJ/mol of atoms
1.0
7.375 0.000 0.000
-3.687 6.387 0.000
0.000 0.000 4.213
Tb Th Ga
1 2 6
direct
0.000 0.000 0.000
0.333 0.667 0.000
0.667 0.333 0.000
0.000 0.332 0.500
0.000 0.668 0.500
0.332 0.000 0.500
0.332 0.332 0.500
0.668 0.000 0.500
0.668 0.668 0.500